(1)
5
Lattice="-2.125 -2.644 -2.040 -1.315 -1.560 3.392 -3.514 2.859 -0.047" Properties=species:S:1:pos:R:3 comment="NiW2SeN (PBEsol, relaxed)" e_form_raw_ev_per_atom=0.685 energy_ev_per_atom=-8.545 vol_a3_per_cell=70.99 n_ef_per_ev_fu=3.2 pbc="T T T"
W -0.657 -0.780 1.696
Se -1.757 1.430 -0.023
Ni -3.477 -0.673 0.653
W -1.062 -1.322 -1.020
N 0.000 0.000 0.000

(2)
5
Lattice="-0.599 0.967 -3.492 3.062 -1.757 -1.011 -2.878 -4.572 -0.773" Properties=species:S:1:pos:R:3 comment="ZnNiSeN2 (PBEsol, relaxed)" e_form_raw_ev_per_atom=1.590 energy_ev_per_atom=-4.139 vol_a3_per_cell=73.61 n_ef_per_ev_fu=4.5 pbc="T T T"
Ni -0.207 -2.681 -2.638
Se -1.439 -2.286 -0.386
N 1.531 -0.878 -0.506
N -0.299 0.483 -1.746
Zn 0.000 0.000 0.000

(3)
5
Lattice="-1.660 -2.346 -1.907 0.057 -2.200 2.656 -5.739 2.366 2.084" Properties=species:S:1:pos:R:3 comment="SiNiTeN2 (PBEsol, relaxed)" e_form_raw_ev_per_atom=0.583 energy_ev_per_atom=-5.914 vol_a3_per_cell=77.91 n_ef_per_ev_fu=4.1 pbc="T T T"
N 0.029 -1.100 1.328
Si 0.000 0.000 0.000
N -0.830 -1.173 -0.954
Ni -3.671 -1.090 1.416
Te -2.870 1.183 1.042

(4)
5
Lattice="-0.407 -2.455 -2.925 3.382 -1.598 0.871 -1.774 -2.483 2.331" Properties=species:S:1:pos:R:3 comment="Ni3SnN (PBEsol, relaxed)" e_form_raw_ev_per_atom=-0.094 energy_ev_per_atom=-6.346 vol_a3_per_cell=56.63 n_ef_per_ev_fu=3.8 pbc="T T T"
Ni 1.691 -0.799 0.435
Sn 0.600 -3.268 0.138
N 0.000 0.000 0.000
Ni -0.203 -1.227 -1.462
Ni -0.887 -1.242 1.166

(5)
5
Lattice="-1.273 0.853 -2.855 0.219 -3.069 -1.015 -7.043 -0.401 4.858" Properties=species:S:1:pos:R:3 comment="Sr2Ni2N (PBEsol, relaxed)" e_form_raw_ev_per_atom=0.013 energy_ev_per_atom=-4.892 vol_a3_per_cell=86.64 n_ef_per_ev_fu=5.8 pbc="T T T"
Sr -6.263 -1.248 2.418
N 0.000 0.000 0.000
Ni -3.675 -2.289 0.954
Sr -1.833 -1.368 -1.431
Ni -4.421 -0.327 0.034

(6)
5
Lattice="-1.407 1.466 3.608 0.356 -3.771 1.672 3.878 0.878 1.155" Properties=species:S:1:pos:R:3 comment="Ta3NiN (PBEsol, relaxed)" e_form_raw_ev_per_atom=-0.450 energy_ev_per_atom=-10.917 vol_a3_per_cell=71.00 n_ef_per_ev_fu=2.8 pbc="T T T"
N 0.000 0.000 0.000
Ta -0.703 0.733 1.804
Ni 1.414 -0.713 3.217
Ta 0.178 -1.886 0.836
Ta 1.939 0.439 0.578

(7)
5
Lattice="-2.873 2.467 -0.237 -1.092 -0.934 3.512 2.225 2.728 1.417" Properties=species:S:1:pos:R:3 comment="TaNi3N (PBEsol, relaxed)" e_form_raw_ev_per_atom=0.087 energy_ev_per_atom=-7.823 vol_a3_per_cell=54.64 n_ef_per_ev_fu=6.3 pbc="T T T"
Ni -1.437 1.234 -0.119
Ni 1.113 1.364 0.708
Ta -0.870 2.131 2.346
Ni -0.546 -0.467 1.756
N 0.000 0.000 0.000

(8)
4
Lattice="-2.848 0.584 -0.580 -2.076 -2.037 0.570 -2.292 1.683 5.377" Properties=species:S:1:pos:R:3 comment="TaNiN2 (PBEsol, relaxed)" e_form_raw_ev_per_atom=0.317 energy_ev_per_atom=-8.624 vol_a3_per_cell=44.42 n_ef_per_ev_fu=2.0 pbc="T T T"
N -2.070 0.944 3.543
Ta 0.000 0.000 0.000
N -5.146 -0.715 1.824
Ni -3.608 0.115 2.684

(9)
5
Lattice="3.841 0.000 0.000 0.000 3.841 0.000 0.000 0.000 4.592" Properties=species:S:1:pos:R:3 comment="TaNi2TeN (PBEsol, relaxed)" e_form_raw_ev_per_atom=0.478 energy_ev_per_atom=-6.906 vol_a3_per_cell=67.75 n_ef_per_ev_fu=3.7 pbc="T T T"
Ni 1.921 0.000 0.000
Ni 0.000 1.921 0.000
Ta 1.921 1.921 2.296
Te 0.000 0.000 2.296
N 0.000 0.000 0.000

(10)
8
Lattice="-2.673 1.935 2.865 1.960 -2.136 3.271 3.270 3.460 -2.619" Properties=species:S:1:pos:R:3 comment="TcNiN2 (PBEsol, relaxed)" e_form_raw_ev_per_atom=-0.069 energy_ev_per_atom=-8.689 vol_a3_per_cell=85.38 n_ef_per_ev_fu=2.5 pbc="T T T"
N 1.533 -0.281 3.279
Tc 2.436 0.612 1.860
N 2.361 2.572 -1.201
Ni 0.120 2.647 1.657
N -0.790 1.759 3.082
Tc 0.000 0.000 0.000
N 2.008 2.467 1.874
Ni -0.357 -0.101 3.068

(11)
5
Lattice="3.744 0.000 0.000 0.000 5.298 0.000 0.000 0.000 5.298" Properties=species:S:1:pos:R:3 comment="NiTe2WN (PBEsol, relaxed)" e_form_raw_ev_per_atom=0.676 energy_ev_per_atom=-6.433 vol_a3_per_cell=105.07 n_ef_per_ev_fu=4.9 pbc="T T T"
Ni 1.872 2.649 2.649
N 1.872 0.000 0.000
W 0.000 0.000 0.000
Te 0.000 2.649 0.000
Te 0.000 0.000 2.649

(12)
5
Lattice="-2.308 3.442 -0.809 -2.956 -1.347 2.698 2.824 2.969 4.578" Properties=species:S:1:pos:R:3 comment="YNiTeN2 (PBEsol, relaxed)" e_form_raw_ev_per_atom=1.142 energy_ev_per_atom=-5.570 vol_a3_per_cell=109.55 n_ef_per_ev_fu=7.1 pbc="T T T"
N -1.154 1.721 -0.405
N -1.478 -0.674 1.349
Te 1.412 1.485 2.289
Y 0.000 0.000 0.000
Ni -1.219 2.532 3.233

(13)
5
Lattice="-3.802 -0.257 3.121 1.545 -4.424 1.519 2.724 2.151 3.495" Properties=species:S:1:pos:R:3 comment="Tl3NiN (PBEsol, relaxed)" e_form_raw_ev_per_atom=0.975 energy_ev_per_atom=-3.539 vol_a3_per_cell=119.51 n_ef_per_ev_fu=2.9 pbc="T T T"
Tl 1.362 1.076 1.748
Ni 0.000 0.000 0.000
Tl -1.901 -0.128 1.560
N 0.233 -1.265 4.067
Tl 0.773 -2.212 0.759

(14)
28
Lattice="7.575 0.000 0.000 3.787 6.560 0.000 3.787 2.187 6.185" Properties=species:S:1:pos:R:3 comment="V4Ni2N (PBEsol, relaxed)" e_form_raw_ev_per_atom=-0.635 energy_ev_per_atom=-9.117 vol_a3_per_cell=307.35 n_ef_per_ev_fu=5.6 pbc="T T T"
Ni 13.910 8.031 5.679
Ni 8.815 8.031 5.679
Ni 3.787 2.187 0.027
Ni 5.028 2.903 2.053
N 5.681 5.467 3.866
V 8.946 3.582 4.212
V 12.734 5.768 5.759
Ni 11.362 3.619 5.679
V 8.946 5.165 1.973
V 11.362 4.976 3.519
V 3.787 4.373 0.773
V 7.575 5.957 4.212
V 6.203 3.582 4.212
V 9.991 7.352 3.519
N 7.575 4.373 0.773
V 5.681 1.093 0.773
Ni 2.547 2.903 2.053
N 7.575 2.187 3.866
V 12.734 7.352 3.519
Ni 3.787 0.755 2.053
V 7.575 2.790 1.973
V 11.362 8.144 5.759
N 9.469 5.467 3.866
V 9.991 5.768 5.759
V 6.203 5.165 1.973
V 1.894 1.093 0.773
V 3.787 2.187 3.866
Ni 11.362 6.560 1.519

(15)
24
Lattice="-1.247 -0.949 6.415 -5.840 -2.674 -1.531 2.818 -5.962 -0.335" Properties=species:S:1:pos:R:3 comment="Ni2W3N (PBEsol, relaxed)" e_form_raw_ev_per_atom=-0.282 energy_ev_per_atom=-10.659 vol_a3_per_cell=287.92 n_ef_per_ev_fu=3.4 pbc="T T T"
W -0.056 -3.337 0.345
Ni -0.281 -0.630 0.299
N -1.601 -3.595 1.706
W -1.824 -5.482 0.873
Ni 0.829 -5.656 1.470
Ni -4.404 -6.284 1.166
W -3.199 -6.562 -1.254
N -0.060 -4.891 5.212
Ni -2.341 -2.717 4.687
N -5.537 -3.679 2.628
Ni -4.104 -4.239 -0.172
Ni -2.921 -6.560 3.113
W -5.039 -3.001 4.524
W -1.120 -6.674 5.253
W -3.490 -3.982 2.470
N -1.340 -7.007 -0.448
W -2.526 -2.139 0.553
W -0.727 -1.954 2.629
W -5.489 -5.536 3.551
Ni -0.609 -7.269 2.651
W 1.301 -6.015 4.121
Ni -3.245 -4.989 4.982
W -2.462 -8.160 0.863
W -0.981 -4.674 3.366

(16)
5
Lattice="-1.342 3.225 1.236 -3.217 -1.649 0.811 1.256 -0.779 3.397" Properties=species:S:1:pos:R:3 comment="ZnNi3N (PBEsol, relaxed)" e_form_raw_ev_per_atom=-0.229 energy_ev_per_atom=-5.945 vol_a3_per_cell=50.86 n_ef_per_ev_fu=3.5 pbc="T T T"
N -1.651 0.398 2.722
Ni -0.043 1.223 2.317
Ni -0.980 -1.214 2.104
Zn 0.000 0.000 0.000
Ni -2.279 0.788 1.023

(17)
5
Lattice="-1.779 0.780 3.204 0.429 -3.555 1.104 3.270 0.890 1.598" Properties=species:S:1:pos:R:3 comment="ZnNiN3 (PBEsol, relaxed)" e_form_raw_ev_per_atom=2.221 energy_ev_per_atom=-4.443 vol_a3_per_cell=52.59 n_ef_per_ev_fu=4.8 pbc="T T T"
N 1.635 0.445 0.799
Zn 0.000 0.000 0.000
N -0.889 0.390 1.602
N 0.214 -1.777 0.552
Ni 0.960 -0.942 2.953

(18)
5
Lattice="-0.988 3.343 1.017 -3.269 -0.512 -1.495 -1.233 -1.323 3.149" Properties=species:S:1:pos:R:3 comment="ZrNiN3 (PBEsol, relaxed)" e_form_raw_ev_per_atom=0.171 energy_ev_per_atom=-7.995 vol_a3_per_cell=47.88 n_ef_per_ev_fu=3.7 pbc="T T T"
Zr -2.745 0.754 1.336
N -0.494 1.671 0.509
N -1.635 -0.256 -0.747
N -0.616 -0.662 1.574
Ni 0.000 0.000 0.000

(19)
28
Lattice="8.531 0.000 0.000 4.265 7.388 0.000 4.265 2.463 6.965" Properties=species:S:1:pos:R:3 comment="Zr4Ni2N (PBEsol, relaxed)" e_form_raw_ev_per_atom=-0.860 energy_ev_per_atom=-9.032 vol_a3_per_cell=439.00 n_ef_per_ev_fu=5.0 pbc="T T T"
Zr 4.265 2.463 4.353
Zr 14.361 8.291 3.947
Zr 6.398 1.231 0.871
Ni 8.531 4.925 6.848
Zr 12.796 5.581 3.947
Zr 10.095 4.022 4.760
Zr 10.095 5.829 2.205
Zr 2.133 1.231 0.871
N 8.531 2.463 4.353
Zr 11.232 8.291 3.947
Ni 12.796 4.215 6.346
Ni 15.544 8.974 6.346
Ni 5.783 3.339 2.361
Zr 11.232 6.485 6.502
Ni 12.796 7.388 1.859
Ni 11.279 3.339 2.361
Ni 8.531 8.098 2.361
Zr 8.531 6.732 4.760
Zr 4.265 4.925 0.871
Zr 12.796 9.195 6.502
N 8.531 4.925 0.871
N 6.398 6.157 4.353
Zr 6.966 4.022 4.760
Zr 6.966 5.829 2.205
N 10.664 6.157 4.353
Zr 14.361 6.485 6.502
Ni 10.048 8.974 6.346
Zr 8.531 3.119 2.205

(20)
40
Lattice="9.042 0.000 0.000 -3.014 8.525 0.000 -3.014 -4.262 7.383" Properties=species:S:1:pos:R:3 comment="Np2N3 (PBEsol, relaxed)" e_form_raw_ev_per_atom=-1.189 energy_ev_per_atom=-11.844 vol_a3_per_cell=569.10 n_ef_per_ev_fu=8.1 pbc="T T T"
Np 0.136 6.298 0.166
N 3.658 -0.889 5.421
Np 2.878 -2.035 7.216
Np 5.892 -0.970 2.012
N 5.416 1.232 1.750
N -0.644 5.151 1.961
Np 0.000 0.000 0.000
N 0.957 0.988 1.749
N 0.644 0.877 5.442
Np -3.014 2.131 3.691
Np 3.014 -2.131 3.691
N -0.801 2.264 3.500
N 0.801 -1.899 3.711
Np -2.878 5.232 5.371
N 8.085 2.009 0.019
Np 3.150 4.166 3.858
N 5.227 4.362 0.211
N -0.612 5.162 5.441
Np -2.878 5.520 1.846
N -5.071 2.254 7.363
N -2.370 0.012 3.903
Np -0.136 3.005 5.537
N 5.071 7.504 1.730
N 2.057 3.275 5.633
N -2.213 -0.100 7.172
Np 2.878 1.162 5.704
N -2.402 3.031 5.633
Np 5.892 -1.258 5.537
Np 3.150 1.258 1.846
N 2.213 6.161 3.672
N 2.370 3.386 1.941
N -2.057 -3.241 5.653
N 3.815 1.998 3.883
N 2.402 6.393 0.192
N 5.384 4.251 3.480
Np 3.014 4.262 0.000
N 3.626 -0.900 1.942
Np 0.136 3.101 1.679
Np -0.136 0.096 3.525
N 0.612 -2.131 7.191

(21)
2
Lattice="3.383 0.000 0.000 1.691 2.929 0.000 1.691 0.976 2.762" Properties=species:S:1:pos:R:3 comment="NpN (PBEsol, relaxed)" e_form_raw_ev_per_atom=-1.133 energy_ev_per_atom=-12.320 vol_a3_per_cell=27.37 n_ef_per_ev_fu=3.9 pbc="T T T"
N 0.000 0.000 0.000
Np 3.383 1.953 1.381

(22)
5
Lattice="3.985 0.000 0.000 0.000 3.985 0.000 0.000 0.000 3.985" Properties=species:S:1:pos:R:3 comment="Os3NO (PBEsol, relaxed)" e_form_raw_ev_per_atom=2.144 energy_ev_per_atom=-7.940 vol_a3_per_cell=63.28 n_ef_per_ev_fu=6.0 pbc="T T T"
Os 0.000 0.000 1.993
N 1.993 1.993 1.993
O 0.000 0.000 0.000
Os 1.993 0.000 0.000
Os 0.000 1.993 0.000

(23)
5
Lattice="3.778 0.000 0.000 0.000 3.778 0.000 0.000 0.000 3.802" Properties=species:S:1:pos:R:3 comment="OsN2O2 (PBEsol, relaxed)" e_form_raw_ev_per_atom=0.912 energy_ev_per_atom=-7.041 vol_a3_per_cell=54.27 n_ef_per_ev_fu=1.7 pbc="T T T"
Os 0.000 0.000 0.000
N 0.000 0.000 1.901
O 1.889 0.000 0.000
N 1.889 1.889 1.901
O 0.000 1.889 0.000